1.
Material: FeOsSe2
Method: DFT, meta-GGA SCAN
State: PBEsol geometry

Properties
The calculation puts the density of states at the Fermi level at 2.0 states/eV per cell. The value obtained for the formation energy (no corrections) is 0.238 eV per atom. As for the crystal system: tetragonal. The calculation puts the energy relative to the lowest polymorph listed for this composition at 0.0 meV/atom.

a = 2.920 Å, b = 2.920 Å, c = 7.581 Å
α = 90.00°, β = 90.00°, γ = 90.00°
Sites, in units of the cell vectors:
Fe  0.000  0.000  0.496
Os  0.500  0.500  0.740
Se  0.000  0.000  0.928
Se  0.500  0.500  0.336

2.
Material: Li3CuCl
Method: DFT, meta-GGA SCAN
State: PBEsol geometry

Properties
The calculation puts the density of states at the Fermi level at 2.3 states/eV per cell. The value obtained for the formation energy (no corrections) is -0.417 eV per atom. As for the crystal system: cubic.

a = 4.497 Å, b = 4.497 Å, c = 4.497 Å
α = 90.00°, β = 90.00°, γ = 90.00°
Sites, in units of the cell vectors:
Li  0.000  0.500  0.000
Li  0.000  0.000  0.500
Li  0.500  0.000  0.000
Cu  0.500  0.500  0.500
Cl  0.000  0.000  0.000

3.
Material: IrRuPt2
Method: DFT, meta-GGA SCAN
State: PBEsol geometry

Properties
The calculation puts the density of states at the Fermi level at 3.2 states/eV per cell. The formation energy from the elements is -0.048 eV/atom. As for the crystal system: tetragonal. The calculation puts the energy relative to the lowest polymorph listed for this composition at 0.0 meV/atom.

a = 2.714 Å, b = 2.714 Å, c = 7.795 Å
α = 90.00°, β = 90.00°, γ = 90.00°
Sites, in units of the cell vectors:
Ru  0.000  0.000  0.509
Ir  0.500  0.500  0.737
Pt  0.000  0.000  0.994
Pt  0.500  0.500  0.260

4.
Material: Be2TlP
Method: DFT, meta-GGA SCAN
State: PBEsol geometry

Properties
The calculation puts the density of states at the Fermi level at 1.0 states/eV per cell. The formation energy from the elements is 0.405 eV/atom. As for the crystal system: tetragonal. The calculation puts the energy relative to the lowest polymorph listed for this composition at 249.9 meV/atom.

a = 3.250 Å, b = 3.250 Å, c = 5.872 Å
α = 90.00°, β = 90.00°, γ = 90.00°
Sites, in units of the cell vectors:
P  0.000  0.000  0.368
Tl  0.500  0.500  0.787
Be  0.000  0.000  0.018
Be  0.500  0.500  0.327

5.
Material: AlAuS3
Method: DFT, meta-GGA SCAN
State: PBEsol geometry

Properties
The calculation puts the density of states at the Fermi level at 4.4 states/eV per cell. The value obtained for the formation energy (no corrections) is 0.676 eV per atom. As for the crystal system: cubic.

a = 4.737 Å, b = 4.737 Å, c = 4.737 Å
α = 90.00°, β = 90.00°, γ = 90.00°
Sites, in units of the cell vectors:
S  0.000  0.500  0.000
S  0.000  0.000  0.500
S  0.500  0.000  0.000
Au  0.000  0.000  0.000
Al  0.500  0.500  0.500

6.
Material: Sr4CaPr2Cu4HgO14
Method: DFT, meta-GGA SCAN
State: PBEsol geometry

Properties
The calculation puts the density of states at the Fermi level at 6.3 states/eV per cell. The value obtained for the formation energy (no corrections) is -2.183 eV per atom. As for the crystal system: tetragonal.

a = 5.314 Å, b = 5.314 Å, c = 12.821 Å
α = 101.96°, β = 101.96°, γ = 90.00°
Sites, in units of the cell vectors:
Sr  0.395  0.895  0.790
Sr  0.893  0.393  0.786
Sr  0.105  0.605  0.210
Sr  0.607  0.107  0.214
Ca  0.750  0.250  0.500
Pr  0.250  0.750  0.500
Pr  0.000  0.000  0.000
Cu  0.824  0.824  0.648
Cu  0.322  0.322  0.643
Cu  0.678  0.678  0.357
Cu  0.176  0.176  0.352
Hg  0.500  0.500  0.000
O  0.564  0.066  0.628
O  0.064  0.562  0.628
O  0.438  0.936  0.372
O  0.934  0.436  0.372
O  0.064  0.066  0.628
O  0.564  0.562  0.628
O  0.934  0.936  0.372
O  0.438  0.436  0.372
O  0.000  0.500  0.000
O  0.500  0.000  0.000
O  0.908  0.908  0.817
O  0.413  0.413  0.827
O  0.587  0.587  0.173
O  0.092  0.092  0.183

7.
Material: CaLa3Bi
Method: DFT, meta-GGA SCAN
State: PBEsol geometry

Properties
The calculation puts the density of states at the Fermi level at 3.7 states/eV per cell. The formation energy from the elements is 0.465 eV/atom. As for the crystal system: cubic.

a = 5.577 Å, b = 5.577 Å, c = 5.577 Å
α = 90.00°, β = 90.00°, γ = 90.00°
Sites, in units of the cell vectors:
Ca  0.000  0.000  0.000
Bi  0.500  0.500  0.500
La  0.000  0.500  0.000
La  0.000  0.000  0.500
La  0.500  0.000  0.000

8.
Material: Ba2Li2As
Method: DFT, meta-GGA SCAN
State: PBEsol geometry

Properties
The calculation puts the density of states at the Fermi level at 1.8 states/eV per cell. The formation energy from the elements is -0.504 eV/atom. As for the crystal system: tetragonal. The calculation puts the energy relative to the lowest polymorph listed for this composition at 0.0 meV/atom.

a = 4.059 Å, b = 4.059 Å, c = 10.609 Å
α = 101.03°, β = 101.03°, γ = 90.00°
Sites, in units of the cell vectors:
As  0.000  0.000  0.000
Ba  0.417  0.417  0.834
Ba  0.583  0.583  0.166
Li  0.250  0.750  0.500
Li  0.750  0.250  0.500

9.
Material: YAg2Mo
Method: DFT, meta-GGA SCAN
State: PBEsol geometry

Properties
The calculation puts the density of states at the Fermi level at 3.6 states/eV per cell. The formation energy from the elements is 0.356 eV/atom. As for the crystal system: orthorhombic. The calculation puts the energy relative to the lowest polymorph listed for this composition at 24.0 meV/atom.

a = 2.944 Å, b = 4.200 Å, c = 5.958 Å
α = 90.00°, β = 90.00°, γ = 90.00°
Sites, in units of the cell vectors:
Ag  0.000  0.000  0.772
Ag  0.000  0.000  0.228
Mo  0.500  0.500  0.000
Y  0.500  0.500  0.500

10.
Material: SrTeSe2
Method: DFT, meta-GGA SCAN
State: PBEsol geometry

Properties
The calculation puts the density of states at the Fermi level at 0.6 states/eV per cell. The value obtained for the formation energy (no corrections) is -1.121 eV per atom. As for the crystal system: monoclinic.

a = 4.162 Å, b = 4.942 Å, c = 5.796 Å
α = 90.00°, β = 106.09°, γ = 90.00°
Sites, in units of the cell vectors:
Sr  0.097  0.000  0.425
Te  0.543  0.500  0.858
Se  0.795  0.000  0.867
Se  0.566  0.500  0.350

11.
Material: Ta2BeTlSe
Method: DFT, meta-GGA SCAN
State: PBEsol geometry

Properties
The calculation puts the density of states at the Fermi level at 3.6 states/eV per cell. The value obtained for the formation energy (no corrections) is 0.998 eV per atom. As for the crystal system: tetragonal.

a = 4.021 Å, b = 4.820 Å, c = 4.820 Å
α = 90.00°, β = 90.00°, γ = 90.00°
Sites, in units of the cell vectors:
Be  0.500  0.000  0.000
Tl  0.500  0.500  0.500
Se  0.000  0.000  0.000
Ta  0.000  0.000  0.500
Ta  0.000  0.500  0.000

12.
Material: CaFe3Cl
Method: DFT, meta-GGA SCAN
State: PBEsol geometry

Properties
The calculation puts the density of states at the Fermi level at 2.5 states/eV per cell. The value obtained for the formation energy (no corrections) is 1.955 eV per atom. As for the crystal system: cubic.

a = 4.680 Å, b = 4.680 Å, c = 4.680 Å
α = 90.00°, β = 90.00°, γ = 90.00°
Sites, in units of the cell vectors:
Ca  0.000  0.000  0.000
Fe  0.000  0.500  0.000
Fe  0.000  0.000  0.500
Fe  0.500  0.000  0.000
Cl  0.500  0.500  0.500

13.
Material: Li2ZnSn
Method: DFT, meta-GGA SCAN
State: PBEsol geometry

Properties
The calculation puts the density of states at the Fermi level at 1.0 states/eV per cell. The formation energy from the elements is -0.298 eV/atom. As for the crystal system: cubic.

a = 4.520 Å, b = 4.520 Å, c = 4.520 Å
α = 60.00°, β = 60.00°, γ = 60.00°
Sites, in units of the cell vectors:
Zn  0.000  0.000  0.000
Sn  0.500  0.500  0.500
Li  0.250  0.250  0.250
Li  0.750  0.750  0.750

14.
Material: Y2ZrBr
Method: DFT, meta-GGA SCAN
State: PBEsol geometry

Properties
The calculation puts the density of states at the Fermi level at 3.9 states/eV per cell. The value obtained for the formation energy (no corrections) is -0.228 eV per atom. As for the crystal system: orthorhombic. The calculation puts the energy relative to the lowest polymorph listed for this composition at 253.2 meV/atom.

a = 3.305 Å, b = 5.538 Å, c = 6.451 Å
α = 115.42°, β = 104.84°, γ = 90.00°
Sites, in units of the cell vectors:
Y  0.977  0.977  0.953
Y  0.767  0.267  0.535
Br  0.233  0.733  0.466
Zr  0.523  0.523  0.046

15.
Material: Al2PCl
Method: DFT, meta-GGA SCAN
State: PBEsol geometry

Properties
The calculation puts the density of states at the Fermi level at 0.7 states/eV per cell. The value obtained for the formation energy (no corrections) is -0.274 eV per atom. As for the crystal system: monoclinic. The calculation puts the energy relative to the lowest polymorph listed for this composition at 69.3 meV/atom.

a = 3.136 Å, b = 5.386 Å, c = 5.646 Å
α = 107.14°, β = 106.12°, γ = 90.00°
Sites, in units of the cell vectors:
P  0.321  0.890  0.642
Al  0.986  0.132  0.972
Al  0.667  0.966  0.333
Cl  0.526  0.512  0.052

16.
Material: TcHgAs2Se
Method: DFT, meta-GGA SCAN
State: PBEsol geometry

Properties
The calculation puts the density of states at the Fermi level at 4.2 states/eV per cell. The value obtained for the formation energy (no corrections) is 0.412 eV per atom. As for the crystal system: tetragonal.

a = 4.679 Å, b = 4.679 Å, c = 5.157 Å
α = 90.00°, β = 90.00°, γ = 90.00°
Sites, in units of the cell vectors:
As  0.000  0.500  0.000
As  0.500  0.000  0.000
Hg  0.500  0.500  0.500
Se  0.000  0.000  0.500
Tc  0.000  0.000  0.000

17.
Material: TlReBr
Method: DFT, meta-GGA SCAN
State: PBEsol geometry

Properties
The calculation puts the density of states at the Fermi level at 2.6 states/eV per cell. The value obtained for the formation energy (no corrections) is 1.305 eV per atom. As for the crystal system: hexagonal. The calculation puts the energy relative to the lowest polymorph listed for this composition at 408.1 meV/atom.

a = 3.024 Å, b = 4.674 Å, c = 4.674 Å
α = 120.00°, β = 90.00°, γ = 90.00°
Sites, in units of the cell vectors:
Re  0.000  0.333  0.667
Tl  0.500  0.667  0.333
Br  0.000  0.000  0.000

18.
Material: MgAsSe3
Method: DFT, meta-GGA SCAN
State: PBEsol geometry

Properties
The calculation puts the density of states at the Fermi level at 4.3 states/eV per cell. The value obtained for the formation energy (no corrections) is 0.405 eV per atom. As for the crystal system: cubic.

a = 4.891 Å, b = 4.891 Å, c = 4.891 Å
α = 90.00°, β = 90.00°, γ = 90.00°
Sites, in units of the cell vectors:
As  0.500  0.500  0.500
Mg  0.000  0.000  0.000
Se  0.000  0.500  0.000
Se  0.000  0.000  0.500
Se  0.500  0.000  0.000

19.
Material: In2BrCl
Method: DFT, meta-GGA SCAN
State: PBEsol geometry

Properties
The value obtained for the formation energy (no corrections) is -0.726 eV per atom. As for the crystal system: monoclinic. The calculation puts the energy relative to the lowest polymorph listed for this composition at 54.9 meV/atom.

a = 3.798 Å, b = 3.803 Å, c = 7.547 Å
α = 90.55°, β = 90.00°, γ = 90.00°
Sites, in units of the cell vectors:
In  0.000  0.028  0.761
In  0.000  0.972  0.239
Br  0.500  0.500  0.500
Cl  0.500  0.500  0.000

20.
Material: B2As2N
Method: DFT, meta-GGA SCAN
State: PBEsol geometry

Properties
The calculation puts the density of states at the Fermi level at 3.1 states/eV per cell. The value obtained for the formation energy (no corrections) is 0.998 eV per atom. As for the crystal system: tetragonal.

a = 3.314 Å, b = 6.009 Å, c = 6.009 Å
α = 90.00°, β = 90.00°, γ = 90.00°
Sites, in units of the cell vectors:
As  0.000  0.239  0.739
As  0.000  0.739  0.761
As  0.000  0.761  0.261
As  0.000  0.261  0.239
B  0.500  0.094  0.594
B  0.500  0.594  0.906
B  0.500  0.906  0.406
B  0.500  0.406  0.094
N  0.000  0.000  0.000
N  0.000  0.500  0.500